## AlVNO2 (GGA+U)

Data for crystalline AlVNO2 at its relaxed geometry.

Total magnetization, μB/cell: 1.0
E_tot, eV per atom: -6.829

extended XYZ file:
```
5
Lattice="3.6349 0.0000 0.0000 0.0000 3.6349 0.0000 0.0000 0.0000 3.7913" Properties=species:S:1:pos:R:3 pbc="T T T"
Al 0.0000 0.0000 0.0000
V 1.8175 1.8175 1.8956
N 0.0000 0.0000 1.8956
O 0.0000 1.8175 0.0000
O 1.8175 0.0000 0.0000
```